[1]
! PBE-GGA KIrSe2, optimized geometry; values from VASP
! VASP energy ... -14.7 eV/cell
! ΔE_f (raw) ... 0.552 eV/atom
! Density ... 7.8 g/cm3
! Calculated volume ... 82.7 Å³ per cell
! Total magnetic moment ... 0.00 Bohr magnetons per cell
! SG ... I-4m2 (119)
&SYSTEM
  ibrav = 0, nat = 4, ntyp = 3
/
ATOMIC_SPECIES
K 39.10 K.upf
Ir 192.22 Ir.upf
Se 78.96 Se.upf
CELL_PARAMETERS angstrom
-2.065 2.065 4.853
2.065 -2.065 4.853
2.065 2.065 -4.853
ATOMIC_POSITIONS crystal
K 0.000 0.000 0.000
Ir 0.750 0.250 0.500
Se 0.250 0.750 0.500
Se 0.500 0.500 0.000

[2]
! PBE-GGA Ta2CuSe, optimized geometry; values from VASP
! VASP energy ... -55.3 eV/cell
! ΔE_f (raw) ... 0.904 eV/atom
! Density ... 9.3 g/cm3
! Calculated volume ... 180.9 Å³ per cell
! Total magnetic moment ... 0.00 Bohr magnetons per cell
! SG ... I-42d (122)
&SYSTEM
  ibrav = 0, nat = 8, ntyp = 3
/
ATOMIC_SPECIES
Ta 180.95 Ta.upf
Cu 63.55 Cu.upf
Se 78.96 Se.upf
CELL_PARAMETERS angstrom
-2.735 2.735 6.046
2.735 -2.735 6.046
2.735 2.735 -6.046
ATOMIC_POSITIONS crystal
Ta 0.093 0.625 0.968
Ta 0.375 0.343 0.468
Ta 0.657 0.125 0.032
Ta 0.875 0.907 0.532
Cu 0.000 0.000 0.000
Cu 0.750 0.250 0.500
Se 0.250 0.750 0.500
Se 0.500 0.500 0.000

[3]
! PBE-GGA NaTlI2, optimized geometry; values from VASP
! VASP energy ... -10.4 eV/cell
! ΔE_f (raw) ... -0.916 eV/atom
! Density ... 5.0 g/cm3
! Calculated volume ... 161.0 Å³ per cell
! Total magnetic moment ... 0.00 Bohr magnetons per cell
! SG ... R3m (160)
&SYSTEM
  ibrav = 0, nat = 4, ntyp = 3
/
ATOMIC_SPECIES
Na 22.99 Na.upf
Tl 204.38 Tl.upf
I 126.90 I.upf
CELL_PARAMETERS angstrom
2.328 1.344 8.580
-2.328 1.344 8.580
0.000 -2.688 8.580
ATOMIC_POSITIONS crystal
Na 0.000 0.000 0.000
Tl 0.168 0.168 0.168
I 0.590 0.590 0.590
I 0.746 0.746 0.746

[4]
! PBE-GGA Pa2NbIn, optimized geometry; values from VASP
! VASP energy ... -31.5 eV/cell
! Density ... 11.9 g/cm3
! Formation energy from the elements ... 0.08 eV per atom
! Calculated volume ... 93.2 Å³ per cell
! Total magnetic moment ... 0.00 Bohr magnetons per cell
! SG ... P4/mmm (123)
&SYSTEM
  ibrav = 0, nat = 4, ntyp = 3
/
ATOMIC_SPECIES
Pa 231.04 Pa.upf
Nb 92.91 Nb.upf
In 114.82 In.upf
CELL_PARAMETERS angstrom
3.069 0.000 0.000
0.000 3.069 0.000
0.000 0.000 9.896
ATOMIC_POSITIONS crystal
Pa 0.000 0.000 0.235
Pa 0.000 0.000 0.765
Nb 0.500 0.500 0.000
In 0.500 0.500 0.500

[5]
! PBE-GGA LaNiMo2, optimized geometry; values from VASP
! VASP energy ... -29.4 eV/cell
! Density ... 9.1 g/cm3
! Formation energy from the elements ... 0.73 eV per atom
! Calculated volume ... 71.4 Å³ per cell
! Total magnetic moment ... 0.16 Bohr magnetons per cell
! SG ... R-3m (166)
&SYSTEM
  ibrav = 0, nat = 4, ntyp = 3
/
ATOMIC_SPECIES
La 138.91 La.upf
Ni 58.69 Ni.upf
Mo 95.94 Mo.upf
CELL_PARAMETERS angstrom
1.436 0.829 9.987
-1.436 0.829 9.987
0.000 -1.659 9.987
ATOMIC_POSITIONS crystal
La 0.000 0.000 0.000
Ni 0.500 0.500 0.500
Mo 0.235 0.235 0.235
Mo 0.765 0.765 0.765

[6]
! PBE-GGA HfHg2B, optimized geometry; values from VASP
! VASP energy ... -30.3 eV/cell
! Density ... 13.1 g/cm3
! Formation energy from the elements ... 0.52 eV per atom
! Calculated volume ... 149.9 Å³ per cell
! Total magnetic moment ... 0.00 Bohr magnetons per cell
! SG ... I-42d (122)
&SYSTEM
  ibrav = 0, nat = 8, ntyp = 3
/
ATOMIC_SPECIES
Hf 178.49 Hf.upf
Hg 200.59 Hg.upf
B 10.81 B.upf
CELL_PARAMETERS angstrom
-3.865 3.865 2.508
3.865 -3.865 2.508
3.865 3.865 -2.508
ATOMIC_POSITIONS crystal
Hf 0.000 0.000 0.000
Hf 0.750 0.250 0.500
Hg 0.208 0.625 0.083
Hg 0.375 0.458 0.583
Hg 0.542 0.125 0.917
Hg 0.875 0.792 0.417
B 0.250 0.750 0.500
B 0.500 0.500 0.000

[7]
! PBE-GGA Pa2BeTc, optimized geometry; values from VASP
! VASP energy ... -33.1 eV/cell
! Density ... 12.5 g/cm3
! Formation energy from the elements ... 0.00 eV per atom
! Calculated volume ... 75.6 Å³ per cell
! Total magnetic moment ... 0.00 Bohr magnetons per cell
! SG ... P4/mmm (123)
&SYSTEM
  ibrav = 0, nat = 4, ntyp = 3
/
ATOMIC_SPECIES
Pa 231.04 Pa.upf
Be 9.01 Be.upf
Tc 98.00 Tc.upf
CELL_PARAMETERS angstrom
4.369 0.000 0.000
0.000 4.369 0.000
0.000 0.000 3.958
ATOMIC_POSITIONS crystal
Pa 0.000 0.500 0.000
Pa 0.500 0.000 0.000
Be 0.000 0.000 0.500
Tc 0.500 0.500 0.500

[8]
! PBE-GGA Tb3Nd5Ho2, optimized geometry; values from VASP
! VASP energy ... -90.2 eV/cell
! Density ... 7.5 g/cm3
! Formation energy from the elements ... 0.18 eV per atom
! Calculated volume ... 681.0 Å³ per cell
! Total magnetic moment ... 0.00 Bohr magnetons per cell
! SG ... C2/c (15)
&SYSTEM
  ibrav = 0, nat = 20, ntyp = 3
/
ATOMIC_SPECIES
Tb 158.93 Tb.upf
Nd 144.24 Nd.upf
Ho 164.93 Ho.upf
CELL_PARAMETERS angstrom
5.375 -7.446 0.000
5.375 7.446 0.000
-5.368 0.000 8.508
ATOMIC_POSITIONS crystal
Tb 0.030 0.280 0.057
Tb 0.228 0.772 0.750
Tb 0.280 0.030 0.557
Tb 0.720 0.970 0.443
Tb 0.772 0.228 0.250
Tb 0.970 0.720 0.943
Nd 0.022 0.978 0.750
Nd 0.119 0.376 0.743
Nd 0.272 0.728 0.250
Nd 0.376 0.119 0.243
Nd 0.481 0.519 0.250
Nd 0.519 0.481 0.750
Nd 0.624 0.881 0.757
Nd 0.728 0.272 0.750
Nd 0.881 0.624 0.257
Nd 0.978 0.022 0.250
Ho 0.219 0.475 0.442
Ho 0.475 0.219 0.942
Ho 0.525 0.781 0.058
Ho 0.781 0.525 0.558

[9]
! PBE-GGA Ce2TaRhN5, optimized geometry; values from VASP
! VASP energy ... -162.9 eV/cell
! ΔE_f (raw) ... -0.972 eV/atom
! Density ... 9.3 g/cm3
! Calculated volume ... 225.3 Å³ per cell
! Total magnetic moment ... 0.00 Bohr magnetons per cell
! SG ... Cmc2_1 (36)
&SYSTEM
  ibrav = 0, nat = 18, ntyp = 4
/
ATOMIC_SPECIES
Ce 140.12 Ce.upf
Ta 180.95 Ta.upf
Rh 102.91 Rh.upf
N 14.01 N.upf
CELL_PARAMETERS angstrom
1.629 -6.561 0.000
1.629 6.561 0.000
0.000 0.000 10.542
ATOMIC_POSITIONS crystal
Ce 0.102 0.898 0.500
Ce 0.145 0.855 0.119
Ce 0.855 0.145 0.619
Ce 0.898 0.102 0.000
Ta 0.206 0.794 0.829
Ta 0.794 0.206 0.329
Rh 0.475 0.525 0.271
Rh 0.525 0.475 0.771
N 0.056 0.944 0.890
N 0.278 0.722 0.464
N 0.319 0.681 0.194
N 0.364 0.636 0.810
N 0.486 0.514 0.587
N 0.514 0.486 0.087
N 0.636 0.364 0.310
N 0.681 0.319 0.694
N 0.722 0.278 0.964
N 0.944 0.056 0.390

[10]
! PBE-GGA SmPbI5, optimized geometry; values from VASP
! VASP energy ... -47.0 eV/cell
! ΔE_f (raw) ... -1.048 eV/atom
! Density ... 5.2 g/cm3
! Calculated volume ... 633.0 Å³ per cell
! Total magnetic moment ... 0.00 Bohr magnetons per cell
! SG ... P2_1/m (11)
&SYSTEM
  ibrav = 0, nat = 14, ntyp = 3
/
ATOMIC_SPECIES
Sm 150.36 Sm.upf
Pb 207.20 Pb.upf
I 126.90 I.upf
CELL_PARAMETERS angstrom
9.271 0.000 0.000
0.000 4.548 0.000
-1.009 0.000 15.014
ATOMIC_POSITIONS crystal
Sm 0.089 0.250 0.151
Sm 0.911 0.750 0.849
Pb 0.406 0.750 0.364
Pb 0.594 0.250 0.636
I 0.117 0.250 0.795
I 0.143 0.250 0.363
I 0.178 0.750 0.014
I 0.353 0.750 0.573
I 0.422 0.250 0.182
I 0.578 0.750 0.818
I 0.647 0.250 0.427
I 0.822 0.250 0.986
I 0.857 0.750 0.637
I 0.883 0.750 0.205

[11]
! PBE-GGA NdDy2CuSe5, optimized geometry; values from VASP
! VASP energy ... -98.2 eV/cell
! ΔE_f (raw) ... -1.511 eV/atom
! Density ... 7.0 g/cm3
! Calculated volume ... 441.4 Å³ per cell
! Total magnetic moment ... 0.00 Bohr magnetons per cell
! SG ... Cmc2_1 (36)
&SYSTEM
  ibrav = 0, nat = 18, ntyp = 4
/
ATOMIC_SPECIES
Nd 144.24 Nd.upf
Dy 162.50 Dy.upf
Cu 63.55 Cu.upf
Se 78.96 Se.upf
CELL_PARAMETERS angstrom
1.989 -9.538 0.000
1.989 9.538 0.000
0.000 0.000 11.633
ATOMIC_POSITIONS crystal
Nd 0.193 0.807 0.500
Nd 0.807 0.193 0.000
Dy 0.091 0.909 0.173
Dy 0.110 0.890 0.799
Dy 0.890 0.110 0.299
Dy 0.909 0.091 0.673
Cu 0.432 0.568 0.942
Cu 0.568 0.432 0.442
Se 0.045 0.955 0.553
Se 0.302 0.698 0.186
Se 0.328 0.672 0.817
Se 0.359 0.641 0.495
Se 0.497 0.503 0.271
Se 0.503 0.497 0.771
Se 0.641 0.359 0.995
Se 0.672 0.328 0.317
Se 0.698 0.302 0.686
Se 0.955 0.045 0.053

[12]
! PBE-GGA K2Ho2F7, optimized geometry; values from VASP
! VASP energy ... -62.8 eV/cell
! ΔE_f (raw) ... -3.483 eV/atom
! Density ... 4.4 g/cm3
! Calculated volume ... 202.1 Å³ per cell
! Total magnetic moment ... 0.45 Bohr magnetons per cell
! SG ... Cmmm (65)
&SYSTEM
  ibrav = 0, nat = 11, ntyp = 3
/
ATOMIC_SPECIES
K 39.10 K.upf
Ho 164.93 Ho.upf
F 19.00 F.upf
CELL_PARAMETERS angstrom
3.774 -4.082 0.000
3.774 4.082 0.000
0.000 0.000 6.558
ATOMIC_POSITIONS crystal
K 0.239 0.239 0.000
K 0.761 0.761 0.000
Ho 0.229 0.771 0.500
Ho 0.771 0.229 0.500
F 0.000 0.000 0.307
F 0.000 0.000 0.693
F 0.000 0.500 0.305
F 0.000 0.500 0.695
F 0.500 0.000 0.305
F 0.500 0.000 0.695
F 0.500 0.500 0.500

[13]
! PBE-GGA Pr12SmDy3, optimized geometry; values from VASP
! VASP energy ... -75.7 eV/cell
! Density ... 6.9 g/cm3
! Formation energy from the elements ... 0.01 eV per atom
! Calculated volume ... 561.5 Å³ per cell
! Total magnetic moment ... 0.00 Bohr magnetons per cell
! SG ... P4/mmm (123)
&SYSTEM
  ibrav = 0, nat = 16, ntyp = 3
/
ATOMIC_SPECIES
Pr 140.91 Pr.upf
Sm 150.36 Sm.upf
Dy 162.50 Dy.upf
CELL_PARAMETERS angstrom
5.202 0.000 0.000
0.000 5.202 0.000
0.000 0.000 20.749
ATOMIC_POSITIONS crystal
Pr 0.000 0.000 0.000
Pr 0.000 0.000 0.249
Pr 0.000 0.000 0.500
Pr 0.000 0.000 0.751
Pr 0.000 0.500 0.125
Pr 0.000 0.500 0.374
Pr 0.000 0.500 0.626
Pr 0.000 0.500 0.875
Pr 0.500 0.000 0.125
Pr 0.500 0.000 0.374
Pr 0.500 0.000 0.626
Pr 0.500 0.000 0.875
Sm 0.500 0.500 0.500
Dy 0.500 0.500 0.000
Dy 0.500 0.500 0.249
Dy 0.500 0.500 0.751